1.
PBE-GGA NaSr2In12Ni3, optimized geometry; total DFT energy (no corrections) = -55.3 eV/f.u.; ΔH_f (0 K) = -0.408 eV per formula unit; ρ = 5.59 Mg/m³; magnetic moment = 0.000 μB per formula unit; symmetry = R-3m, No. 166; crystal system = trigonal
1.0
4.662 2.691 6.917
-4.662 2.691 6.917
0.000 -5.383 6.917
Na Sr In Ni
1 2 12 3
direct
0.000 0.000 0.000
0.412 0.412 0.412
0.588 0.588 0.588
0.112 0.731 0.731
0.157 0.157 0.546
0.157 0.546 0.157
0.269 0.269 0.888
0.269 0.888 0.269
0.454 0.843 0.843
0.546 0.157 0.157
0.731 0.112 0.731
0.731 0.731 0.112
0.843 0.454 0.843
0.843 0.843 0.454
0.888 0.269 0.269
0.000 0.000 0.500
0.000 0.500 0.000
0.500 0.000 0.000

2.
PBE-GGA ZrCr2Os, optimized geometry; total DFT energy (no corrections) = -38.6 eV/f.u.; ΔH_f (0 K) = 0.392 eV per formula unit; ρ = 10.87 Mg/m³; magnetic moment = 0.238 μB per formula unit; symmetry = Imm2, No. 44; crystal system = orthorhombic
1.0
-1.520 2.227 4.349
1.520 -2.227 4.349
1.520 2.227 -4.349
Zr Cr Os
1 2 1
direct
0.000 0.000 0.000
0.264 0.764 0.500
0.489 0.489 0.000
0.734 0.234 0.500

3.
PBE-GGA LiSbAu2, optimized geometry; uncorrected formation energy = -49 meV per atom; total DFT energy (no corrections) = -12.8 eV/f.u.; ρ = 10.97 Mg/m³; magnetic moment = 0.001 μB per formula unit; symmetry = R-3m, No. 166; crystal system = trigonal
1.0
1.581 0.913 9.136
-1.581 0.913 9.136
0.000 -1.825 9.136
Li Sb Au
1 1 2
direct
0.000 0.000 0.000
0.500 0.500 0.500
0.258 0.258 0.258
0.742 0.742 0.742

magnetic moment of number 2 (ZrCr2Os)?
0.238 μB per formula unit

What is the ρ in the first record?
5.59 Mg/m³

Number 3 is which compound?
LiSbAu2

Which formula does entry 1 have?
NaSr2In12Ni3